1.
DFT (GGA-PBE) results for a geometry-optimized LiLa2NiH structure.

Lattice parameters (Å, degrees): 5.0723 5.0723 3.7102 90.00 90.00 90.00
With the nearest neighbours (Å) after each atom.
Element x y z (fractional)
Li (0.0000, 0.0000, 0.0000)  2 H 1.86
La (0.0000, 0.5000, 0.5000)  2 H 2.54
La (0.5000, 0.0000, 0.5000)  2 H 2.54
Ni (0.5000, 0.5000, 0.0000)  8 La 3.14
H (0.0000, 0.0000, 0.5000)  2 Li 1.86

ρ = 5992 kg/m3
Volume = 95.5 Å³ per cell
Relative energy among the computed polymorphs = 0 meV/atom
Total magnetic moment = 0.000 μB/atom
SG = P4/mmm (123)

---

2.
DFT (GGA-PBE) results for a geometry-optimized LiLa2NiH6 structure.

Lattice parameters (Å, degrees): 5.1251 5.1251 4.6965 90.00 90.00 120.00
With the nearest neighbours (Å) after each atom.
Element x y z (fractional)
Li (0.0000, 0.0000, 0.0000)  6 H 1.92
La (0.3333, 0.6667, 0.2587)  9 H 2.56-2.67
La (0.6667, 0.3333, 0.7413)  9 H 2.56-2.67
Ni (0.0000, 0.0000, 0.5000)  6 H 1.77
H (0.1598, 0.3195, 0.7241)  1 Ni 1.77, 1 Li 1.92
H (0.1598, 0.8402, 0.7241)  1 Ni 1.77, 1 Li 1.92
H (0.3195, 0.1598, 0.2759)  1 Ni 1.77, 1 Li 1.92
H (0.6805, 0.8402, 0.7241)  1 Ni 1.77, 1 Li 1.92
H (0.8402, 0.1598, 0.2759)  1 Ni 1.77, 1 Li 1.92
H (0.8402, 0.6805, 0.2759)  1 Ni 1.77, 1 Li 1.92

ρ = 5432 kg/m3
Volume = 106.8 Å³ per cell
Total energy = -41.814 eV for the cell shown
Total magnetic moment = 0.000 μB/atom
SG = P-3m1 (164)

---

3.
DFT (GGA-PBE) results for a geometry-optimized LiLaNiH6 structure.

Lattice parameters (Å, degrees): 4.4785 4.4785 4.4993 90.00 90.00 120.00
With the nearest neighbours (Å) after each atom.
Element x y z (fractional)
Li (0.0000, 0.0000, 0.0000)  6 H 1.77
La (0.6667, 0.3333, 0.5000)  12 H 2.52
Ni (0.3333, 0.6667, 0.0000)  6 H 1.61
H (0.1803, 0.3606, 0.2425)  1 Ni 1.61, 1 Li 1.77
H (0.1803, 0.3606, 0.7575)  1 Ni 1.61, 1 Li 1.77
H (0.1803, 0.8197, 0.2425)  1 Ni 1.61, 1 Li 1.77
H (0.1803, 0.8197, 0.7575)  1 Ni 1.61, 1 Li 1.77
H (0.6394, 0.8197, 0.2425)  1 Ni 1.61, 1 Li 1.77
H (0.6394, 0.8197, 0.7575)  1 Ni 1.61, 1 Li 1.77

ρ = 4474 kg/m3
Volume = 78.2 Å³ per cell
Total energy = -35.868 eV for the cell shown
Total magnetic moment = 0.000 μB/atom
SG = P-6m2 (187)

---

4.
DFT (GGA-PBE) results for a geometry-optimized Li2LaNiH structure.

Lattice parameters (Å, degrees): 6.4638 6.4638 4.6852 90.00 90.00 90.00
With the nearest neighbours (Å) after each atom.
Element x y z (fractional)
Li (0.0000, 0.5000, 0.0000)  2 La 3.23
Li (0.5000, 0.0000, 0.0000)  2 La 3.23
La (0.0000, 0.0000, 0.0000)  2 Ni 2.34
Ni (0.0000, 0.0000, 0.5000)  2 La 2.34
H (0.5000, 0.5000, 0.5000)  8 Li 3.99

ρ = 1803 kg/m3
Volume = 195.8 Å³ per cell
Relative energy among the computed polymorphs = 1589 meV/atom
Total magnetic moment = 0.342 μB/atom
SG = P4/mmm (123)

---

5.
DFT (GGA-PBE) results for a geometry-optimized LiLa2Ni3H12 structure.

Lattice parameters (Å, degrees): 6.0003 6.0003 6.0003 59.89 59.89 59.89
With the nearest neighbours (Å) after each atom.
Element x y z (fractional)
Li (0.0000, 0.0000, 0.0000)  6 H 1.92
La (0.3872, 0.3872, 0.3872)  9 H 2.38-2.60
La (0.6128, 0.6128, 0.6128)  9 H 2.38-2.60
Ni (0.0000, 0.0000, 0.5000)  6 H 1.61-1.62
Ni (0.0000, 0.5000, 0.0000)  6 H 1.61-1.62
Ni (0.5000, 0.0000, 0.0000)  6 H 1.61-1.62
H (0.1091, 0.1091, 0.6099)  1 Ni 1.61
H (0.1091, 0.6099, 0.1091)  1 Ni 1.61
H (0.1229, 0.6923, 0.6923)  2 Ni 1.62
H (0.3077, 0.3077, 0.8771)  2 Ni 1.62
H (0.3077, 0.8771, 0.3077)  2 Ni 1.62
H (0.3901, 0.8909, 0.8909)  1 Ni 1.61
H (0.6099, 0.1091, 0.1091)  1 Ni 1.61
H (0.6923, 0.1229, 0.6923)  2 Ni 1.62
H (0.6923, 0.6923, 0.1229)  2 Ni 1.62
H (0.8771, 0.3077, 0.3077)  2 Ni 1.62
H (0.8909, 0.3901, 0.8909)  1 Ni 1.61
H (0.8909, 0.8909, 0.3901)  1 Ni 1.61

ρ = 5153 kg/m3
Volume = 152.4 Å³ per cell
Total energy = -74.530 eV for the cell shown
Total magnetic moment = 0.001 μB/atom
SG = R-3m (166)

---

6.
DFT (GGA-PBE) results for a geometry-optimized LiLa2HOs structure.

Lattice parameters (Å, degrees): 5.1672 5.1672 3.7943 90.00 90.00 90.00
With the nearest neighbours (Å) after each atom.
Element x y z (fractional)
Li (0.0000, 0.0000, 0.0000)  8 La 3.21
La (0.0000, 0.5000, 0.5000)  2 H 2.58
La (0.5000, 0.0000, 0.5000)  2 H 2.58
H (0.5000, 0.5000, 0.5000)  2 Os 1.90
Os (0.5000, 0.5000, 0.0000)  2 H 1.90

ρ = 7802 kg/m3
Volume = 101.3 Å³ per cell
Relative energy among the computed polymorphs = 54 meV/atom
Total magnetic moment = 0.000 μB/atom
SG = P4/mmm (123)

---

7.
DFT (GGA-PBE) results for a geometry-optimized LiLa2HOs structure.

Lattice parameters (Å, degrees): 5.0418 5.0418 3.8009 90.00 90.00 90.00
With the nearest neighbours (Å) after each atom.
Element x y z (fractional)
Li (0.0000, 0.0000, 0.0000)  2 H 1.90
La (0.0000, 0.5000, 0.5000)  2 H 2.52
La (0.5000, 0.0000, 0.5000)  2 H 2.52
H (0.0000, 0.0000, 0.5000)  2 Li 1.90
Os (0.5000, 0.5000, 0.0000)  8 La 3.16

ρ = 8181 kg/m3
Volume = 96.6 Å³ per cell
Relative energy among the computed polymorphs = 0 meV/atom
Total magnetic moment = 0.000 μB/atom
SG = P4/mmm (123)

---

8.
DFT (GGA-PBE) results for a geometry-optimized LiLaHPb2 structure.

Lattice parameters (Å, degrees): 5.0455 5.0455 4.6263 90.00 90.00 90.00
With the nearest neighbours (Å) after each atom.
Element x y z (fractional)
Li (0.0000, 0.0000, 0.0000)  8 Pb 3.42, 4 La 3.57
La (0.5000, 0.5000, 0.0000)  2 H 2.31
H (0.5000, 0.5000, 0.5000)  2 La 2.31, 4 Pb 2.52
Pb (0.0000, 0.5000, 0.5000)  2 H 2.52
Pb (0.5000, 0.0000, 0.5000)  2 H 2.52

ρ = 7914 kg/m3
Volume = 117.8 Å³ per cell
Total energy = -18.962 eV for the cell shown
Total magnetic moment = 0.000 μB/atom
SG = P4/mmm (123)

---

9.
DFT (GGA-PBE) results for a geometry-optimized LiLa2HPb structure.

Lattice parameters (Å, degrees): 5.0801 5.0801 4.5948 90.00 90.00 90.00
With the nearest neighbours (Å) after each atom.
Element x y z (fractional)
Li (0.0000, 0.0000, 0.0000)  2 H 2.30
La (0.0000, 0.5000, 0.5000)  2 H 2.54
La (0.5000, 0.0000, 0.5000)  2 H 2.54
H (0.0000, 0.0000, 0.5000)  2 Li 2.30, 4 La 2.54
Pb (0.5000, 0.5000, 0.0000)  8 La 3.42, 4 Li 3.59

ρ = 6903 kg/m3
Volume = 118.6 Å³ per cell
Relative energy among the computed polymorphs = 0 meV/atom
Total magnetic moment = 0.000 μB/atom
SG = P4/mmm (123)

---

10.
DFT (GGA-PBE) results for a geometry-optimized LiLa2HPb structure.

Lattice parameters (Å, degrees): 5.6099 5.6099 4.6319 90.00 90.00 90.00
With the nearest neighbours (Å) after each atom.
Element x y z (fractional)
Li (0.0000, 0.0000, 0.0000)  2 Pb 2.32
La (0.0000, 0.5000, 0.0000)  2 Li 2.80
La (0.5000, 0.0000, 0.0000)  2 Li 2.80
H (0.5000, 0.5000, 0.5000)  8 La 3.64, 4 Pb 3.97
Pb (0.0000, 0.0000, 0.5000)  2 Li 2.32

ρ = 5616 kg/m3
Volume = 145.8 Å³ per cell
Relative energy among the computed polymorphs = 833 meV/atom
Total magnetic moment = 0.245 μB/atom
SG = P4/mmm (123)

---

11.
DFT (GGA-PBE) results for a geometry-optimized Li2LaHPb structure.

Lattice parameters (Å, degrees): 4.6298 4.6298 4.9323 90.00 90.00 90.00
With the nearest neighbours (Å) after each atom.
Element x y z (fractional)
Li (0.0000, 0.5000, 0.0000)  2 H 2.31
Li (0.5000, 0.0000, 0.0000)  2 H 2.31
La (0.0000, 0.0000, 0.5000)  2 H 2.47
H (0.0000, 0.0000, 0.0000)  4 Li 2.31, 2 La 2.47
Pb (0.5000, 0.5000, 0.5000)  4 La 3.27, 8 Li 3.38

ρ = 5670 kg/m3
Volume = 105.7 Å³ per cell
Total energy = -17.830 eV for the cell shown
Total magnetic moment = 0.000 μB/atom
SG = P4/mmm (123)

---

12.
DFT (GGA-PBE) results for a geometry-optimized LiLa2H3Pd12 structure.

Lattice parameters (Å, degrees): 7.3534 7.3534 7.3534 59.39 59.39 59.39
With the nearest neighbours (Å) after each atom.
Element x y z (fractional)
Li (0.0000, 0.0000, 0.0000)  6 Pd 2.64
La (0.4016, 0.4016, 0.4016)  6 Pd 2.74-2.98
La (0.5984, 0.5984, 0.5984)  6 Pd 2.74-2.98
H (0.0000, 0.0000, 0.5000)  6 Pd 1.93-2.15
H (0.0000, 0.5000, 0.0000)  6 Pd 1.93-2.15
H (0.5000, 0.0000, 0.0000)  6 Pd 1.93-2.15
Pd (0.1052, 0.7254, 0.7254)  2 H 1.93
Pd (0.1469, 0.1469, 0.5572)  1 H 2.15
Pd (0.1469, 0.5572, 0.1469)  1 H 2.15
Pd (0.2746, 0.2746, 0.8948)  2 H 1.93
Pd (0.2746, 0.8948, 0.2746)  2 H 1.93
Pd (0.4428, 0.8531, 0.8531)  1 H 2.15
Pd (0.5572, 0.1469, 0.1469)  1 H 2.15
Pd (0.7254, 0.1052, 0.7254)  2 H 1.93
Pd (0.7254, 0.7254, 0.1052)  2 H 1.93
Pd (0.8531, 0.4428, 0.8531)  1 H 2.15
Pd (0.8531, 0.8531, 0.4428)  1 H 2.15
Pd (0.8948, 0.2746, 0.2746)  2 H 1.93

ρ = 9372 kg/m3
Volume = 277.3 Å³ per cell
Total energy = -90.269 eV for the cell shown
Total magnetic moment = 0.000 μB/atom
SG = R-3m (166)

---

13.
DFT (GGA-PBE) results for a geometry-optimized LiLa2HPd structure.

Lattice parameters (Å, degrees): 5.1864 5.1864 3.8480 90.00 90.00 90.00
With the nearest neighbours (Å) after each atom.
Element x y z (fractional)
Li (0.0000, 0.0000, 0.0000)  2 H 1.92
La (0.0000, 0.5000, 0.5000)  2 H 2.59
La (0.5000, 0.0000, 0.5000)  2 H 2.59
H (0.0000, 0.0000, 0.5000)  2 Li 1.92
Pd (0.5000, 0.5000, 0.0000)  8 La 3.23

ρ = 6292 kg/m3
Volume = 103.5 Å³ per cell
Relative energy among the computed polymorphs = 0 meV/atom
Total magnetic moment = 0.000 μB/atom
SG = P4/mmm (123)

---

14.
DFT (GGA-PBE) results for a geometry-optimized LiLa2HPd structure.

Lattice parameters (Å, degrees): 5.2743 5.2743 3.8726 90.00 90.00 90.00
With the nearest neighbours (Å) after each atom.
Element x y z (fractional)
Li (0.0000, 0.0000, 0.0000)  8 La 3.27
La (0.0000, 0.5000, 0.5000)  2 H 2.64
La (0.5000, 0.0000, 0.5000)  2 H 2.64
H (0.5000, 0.5000, 0.5000)  2 Pd 1.94
Pd (0.5000, 0.5000, 0.0000)  2 H 1.94

ρ = 6045 kg/m3
Volume = 107.7 Å³ per cell
Relative energy among the computed polymorphs = 104 meV/atom
Total magnetic moment = 0.000 μB/atom
SG = P4/mmm (123)

---

15.
DFT (GGA-PBE) results for a geometry-optimized LiLa2HPt structure.

Lattice parameters (Å, degrees): 5.1440 5.1440 3.8285 90.00 90.00 90.00
With the nearest neighbours (Å) after each atom.
Element x y z (fractional)
Li (0.0000, 0.0000, 0.0000)  2 H 1.91
La (0.0000, 0.5000, 0.5000)  2 H 2.57
La (0.5000, 0.0000, 0.5000)  2 H 2.57
H (0.0000, 0.0000, 0.5000)  2 Li 1.91
Pt (0.5000, 0.5000, 0.0000)  8 La 3.21

ρ = 7882 kg/m3
Volume = 101.3 Å³ per cell
Relative energy among the computed polymorphs = 0 meV/atom
Total magnetic moment = 0.000 μB/atom
SG = P4/mmm (123)

---

16.
DFT (GGA-PBE) results for a geometry-optimized LiLa2HPt structure.

Lattice parameters (Å, degrees): 5.2413 5.2413 3.8605 90.00 90.00 90.00
With the nearest neighbours (Å) after each atom.
Element x y z (fractional)
Li (0.0000, 0.0000, 0.0000)  8 La 3.25
La (0.0000, 0.5000, 0.5000)  2 H 2.62
La (0.5000, 0.0000, 0.5000)  2 H 2.62
H (0.5000, 0.5000, 0.5000)  2 Pt 1.93
Pt (0.5000, 0.5000, 0.0000)  2 H 1.93

ρ = 7529 kg/m3
Volume = 106.1 Å³ per cell
Relative energy among the computed polymorphs = 136 meV/atom
Total magnetic moment = 0.000 μB/atom
SG = P4/mmm (123)

---

17.
DFT (GGA-PBE) results for a geometry-optimized LiLaH6Pt structure.

Lattice parameters (Å, degrees): 4.6207 4.6207 4.5609 90.00 90.00 120.00
With the nearest neighbours (Å) after each atom.
Element x y z (fractional)
Li (0.0000, 0.0000, 0.0000)  6 H 1.84
La (0.3333, 0.6667, 0.5000)  12 H 2.55
H (0.3498, 0.1749, 0.2619)  1 Pt 1.74, 1 Li 1.84
H (0.3498, 0.1749, 0.7381)  1 Pt 1.74, 1 Li 1.84
H (0.8251, 0.1749, 0.2619)  1 Pt 1.74, 1 Li 1.84
H (0.8251, 0.1749, 0.7381)  1 Pt 1.74, 1 Li 1.84
H (0.8251, 0.6502, 0.2619)  1 Pt 1.74, 1 Li 1.84
H (0.8251, 0.6502, 0.7381)  1 Pt 1.74, 1 Li 1.84
Pt (0.6667, 0.3333, 0.0000)  6 H 1.74

ρ = 6832 kg/m3
Volume = 84.3 Å³ per cell
Total energy = -36.615 eV for the cell shown
Total magnetic moment = 0.000 μB/atom
SG = P-6m2 (187)

---

18.
DFT (GGA-PBE) results for a geometry-optimized LiLaH8Pt2 structure.

Lattice parameters (Å, degrees): 4.5614 4.5614 6.0957 90.00 90.00 120.00
With the nearest neighbours (Å) after each atom.
Element x y z (fractional)
Li (0.0000, 0.0000, 0.0000)  6 H 1.88
La (0.0000, 0.0000, 0.5000)  12 H 2.59-2.68
H (0.0512, 0.6802, 0.8363)  1 Pt 1.70, 1 Li 1.88
H (0.3198, 0.3710, 0.8363)  1 Pt 1.70, 1 Li 1.88
H (0.3333, 0.6667, 0.4162)  1 Pt 1.82
H (0.3710, 0.0512, 0.1637)  1 Pt 1.70, 1 Li 1.88
H (0.6290, 0.9488, 0.8363)  1 Pt 1.70, 1 Li 1.88
H (0.6667, 0.3333, 0.5838)  1 Pt 1.82
H (0.6802, 0.6290, 0.1637)  1 Pt 1.70, 1 Li 1.88
H (0.9488, 0.3198, 0.1637)  1 Pt 1.70, 1 Li 1.88
Pt (0.3333, 0.6667, 0.1184)  4 H 1.70-1.82
Pt (0.6667, 0.3333, 0.8816)  4 H 1.70-1.82

ρ = 8226 kg/m3
Volume = 109.8 Å³ per cell
Total energy = -47.546 eV for the cell shown
Total magnetic moment = 0.000 μB/atom
SG = P-3 (147)

---

19.
DFT (GGA-PBE) results for a geometry-optimized LiLaH6Rh structure.

Lattice parameters (Å, degrees): 4.6281 4.6281 4.4819 90.00 90.00 120.00
With the nearest neighbours (Å) after each atom.
Element x y z (fractional)
Li (0.0000, 0.0000, 0.0000)  6 H 1.85
La (0.6667, 0.3333, 0.5000)  12 H 2.55
H (0.1787, 0.3573, 0.2596)  1 Rh 1.70, 1 Li 1.85
H (0.1787, 0.3573, 0.7404)  1 Rh 1.70, 1 Li 1.85
H (0.1787, 0.8213, 0.2596)  1 Rh 1.70, 1 Li 1.85
H (0.1787, 0.8213, 0.7404)  1 Rh 1.70, 1 Li 1.85
H (0.6427, 0.8213, 0.2596)  1 Rh 1.70, 1 Li 1.85
H (0.6427, 0.8213, 0.7404)  1 Rh 1.70, 1 Li 1.85
Rh (0.3333, 0.6667, 0.0000)  6 H 1.70

ρ = 5089 kg/m3
Volume = 83.1 Å³ per cell
Total energy = -38.294 eV for the cell shown
Total magnetic moment = 0.000 μB/atom
SG = P-6m2 (187)

---

20.
DFT (GGA-PBE) results for a geometry-optimized Li2LaHRh structure.

Lattice parameters (Å, degrees): 3.9818 3.9818 5.0859 90.00 90.00 90.00
With the nearest neighbours (Å) after each atom.
Element x y z (fractional)
Li (0.0000, 0.5000, 0.0000)  2 H 1.99
Li (0.5000, 0.0000, 0.0000)  2 H 1.99
La (0.0000, 0.0000, 0.5000)  2 H 2.54, 4 Rh 2.82
H (0.0000, 0.0000, 0.0000)  4 Li 1.99
Rh (0.5000, 0.5000, 0.5000)  4 La 2.82

ρ = 5286 kg/m3
Volume = 80.6 Å³ per cell
Total energy = -21.628 eV for the cell shown
Total magnetic moment = 0.000 μB/atom
SG = P4/mmm (123)